Entry from the Open Quantum Materials Database: an optimized crystal structure of Li2Zr2InGaPt2 (GGA-PBE).

Cell: 4.5489 4.5489 6.4578 Å, 90.00 90.00 90.00°
Fractional positions:
Li (0.0000, 0.5000, 0.2378)
Li (0.5000, 0.0000, 0.7622)
Zr (0.0000, 0.0000, 0.0000)
Zr (0.5000, 0.5000, 0.5000)
In (0.0000, 0.0000, 0.5000)
Ga (0.5000, 0.5000, 0.0000)
Pt (0.0000, 0.5000, 0.7601)
Pt (0.5000, 0.0000, 0.2399)

SG: P-4m2 (115)
crystal system: tetragonal
total moment: 0.0010 μB/atom
total energy: -5.64 eV/atom